Entry 1:
DFT (PBE-GGA) results for crystalline AgIrRu2 at its relaxed geometry.

The uncorrected energy comes out at -26.806 eV per formula unit. The calculated formation energy is 0.86 eV/atom.

a b c (Å): 7.194 7.194 5.735
angles (deg): 51.16 51.16 90.00
Positions (direct):
Ru: 0.670 0.125 0.250
Ru: 0.375 0.330 0.750
Ru: 0.875 0.920 0.750
Ru: 0.080 0.625 0.250
Ir: 0.750 0.250 0.500
Ir: 0.000 0.000 0.000
Ag: 0.250 0.750 0.500
Ag: 0.500 0.500 0.000



Entry 2:
DFT (PBE-GGA) results for crystalline Ag2IrRu at its relaxed geometry.

The uncorrected energy comes out at -21.613 eV per formula unit. The calculated formation energy is 0.56 eV/atom.

a b c (Å): 4.787 4.787 4.787
angles (deg): 129.92 129.92 73.53
Positions (direct):
Ir: 0.500 0.500 0.000
Ag: 0.250 0.750 0.500
Ag: 0.000 0.000 0.000
Ru: 0.750 0.250 0.500



Entry 3:
DFT (PBE-GGA) results for crystalline AgIrRu2 at its relaxed geometry.

The uncorrected energy comes out at -28.310 eV per formula unit. The calculated formation energy is 0.49 eV/atom.

a b c (Å): 5.545 5.545 5.545
angles (deg): 151.39 130.40 58.26
Positions (direct):
Ru: 0.775 0.275 0.500
Ru: 0.996 0.996 0.000
Ag: 0.502 0.502 0.000
Ir: 0.227 0.727 0.500



Entry 4:
DFT (PBE-GGA) results for crystalline Ag2IrRu at its relaxed geometry.

The uncorrected energy comes out at -19.337 eV per formula unit. The calculated formation energy is 1.13 eV/atom.

a b c (Å): 7.446 7.446 5.854
angles (deg): 50.51 50.51 90.00
Site moments in Bohr magnetons follow the coordinates.
Positions (direct):
Ag: 0.123 0.625 0.250  0.04
Ag: 0.627 0.125 0.250  0.04
Ag: 0.375 0.373 0.750  0.04
Ag: 0.875 0.877 0.750  0.04
Ru: 0.250 0.750 0.500  0.86
Ru: 0.500 0.500 0.000  0.86
Ir: 0.000 0.000 0.000  0.17
Ir: 0.750 0.250 0.500  0.17



Entry 5:
DFT (PBE-GGA) results for crystalline AgIr2Ru at its relaxed geometry.

The uncorrected energy comes out at -28.916 eV per formula unit. The calculated formation energy is 0.23 eV/atom.

a b c (Å): 9.330 9.330 9.330
angles (deg): 16.99 16.99 16.99
Positions (direct):
Ru: 0.505 0.505 0.505
Ag: 0.750 0.750 0.750
Ir: 0.996 0.996 0.996
Ir: 0.249 0.249 0.249



Entry 6:
DFT (PBE-GGA) results for crystalline AgIr2Ru at its relaxed geometry.

The uncorrected energy comes out at -26.487 eV per formula unit. The calculated formation energy is 0.84 eV/atom.

a b c (Å): 7.196 7.196 5.736
angles (deg): 51.15 51.15 90.00
Positions (direct):
Ir: 0.375 0.416 0.750
Ir: 0.584 0.125 0.250
Ir: 0.166 0.625 0.250
Ir: 0.875 0.834 0.750
Ru: 0.250 0.750 0.500
Ru: 0.500 0.500 0.000
Ag: 0.750 0.250 0.500
Ag: 0.000 0.000 0.000



Entry 7:
DFT (PBE-GGA) results for crystalline AgIr2Ru at its relaxed geometry.

The uncorrected energy comes out at -28.550 eV per formula unit. The calculated formation energy is 0.32 eV/atom.

a b c (Å): 4.824 4.824 4.804
angles (deg): 80.43 80.43 33.10
Site moments in Bohr magnetons follow the coordinates.
Positions (direct):
Ir: 0.008 0.008 0.987  0.03
Ir: 0.492 0.492 0.513  0.03
Ag: 0.250 0.250 0.250  0.02
Ru: 0.750 0.750 0.750  0.30



Entry 8:
DFT (PBE-GGA) results for crystalline AgIr2Ru at its relaxed geometry.

The uncorrected energy comes out at -27.541 eV per formula unit. The calculated formation energy is 0.58 eV/atom.

a b c (Å): 2.749 4.753 4.696
angles (deg): 90.00 90.00 90.00
Site moments in Bohr magnetons follow the coordinates.
Positions (direct):
Ag: 0.000 0.500 0.500  0.00
Ir: 0.500 0.500 0.000  0.05
Ir: 0.000 0.000 0.000  0.17
Ru: 0.500 0.000 0.500  0.68